# Tm6Ru5Pt

A geometry-optimized Tm6Ru5Pt structure (PBE, Alexandria).

The structure in POSCAR format:
```
Tm6Ru5Pt
1.0
2.3833 -7.1313 0.0000
2.3833 7.1313 0.0000
0.0000 0.0000 6.7296
Tm Ru Pt
6 5 1
Direct
0.0000 0.0000 0.2458
0.0000 0.0000 0.7542
0.3310 0.6690 0.2478
0.3310 0.6690 0.7522
0.6690 0.3310 0.2478
0.6690 0.3310 0.7522
0.1656 0.8344 0.0000
0.1662 0.8338 0.5000
0.5000 0.5000 0.0000
0.8344 0.1656 0.0000
0.8338 0.1662 0.5000
0.5000 0.5000 0.5000
```

Results
Crystal system: orthorhombic
Energy (eV/f.u.): -86.33
Space-group type: No. 65


# NaPm2AsO6

A geometry-optimized NaPm2AsO6 structure (PBE, Alexandria).

The structure in POSCAR format:
```
NaPm2AsO6
1.0
5.3623 0.0000 0.0000
0.0000 5.3623 0.0000
0.0000 0.0000 4.9121
Na Pm As O
1 2 1 6
Direct
0.0000 0.0000 0.0000
0.0000 0.5000 0.4433
0.5000 0.0000 0.4433
0.5000 0.5000 0.0474
0.0000 0.0000 0.5525
0.2733 0.2733 0.1602
0.2733 0.7267 0.1602
0.5000 0.5000 0.6875
0.7267 0.2733 0.1602
0.7267 0.7267 0.1602
```

Results
Crystal system: tetragonal
Energy (eV/f.u.): -68.30
Space-group type: No. 99
Energy relative to the elements, uncorrected (eV per atom): -2.31